## FeAg2Sb (meta-GGA SCAN)

Data for FeAg2Sb at its PBEsol-relaxed geometry.

a b c (Å): 4.1236 4.1362 8.4247
angles (deg): 90.00 90.00 90.00
Space group Cmmm (No. 65)
One atom of each set of equivalent atoms:
Fe  0.0000  0.0000  0.0000
Ag  0.0000  0.5000  0.2102
Sb  0.0000  0.0000  0.5000

Calculated values
Fermi-level density of states (states/eV/f.u.): 1.5
Size of the total moment (μB per atom): 0.780
Crystal system: orthorhombic
Formation energy from raw total energies (eV per atom): 0.3206

---

## ScCuPt (meta-GGA SCAN)

Data for ScCuPt at its PBEsol-relaxed geometry.

a b c (Å): 3.3547 3.3547 8.2993
angles (deg): 90.00 90.00 90.00
Space group I4mm (No. 107)
One atom of each set of equivalent atoms:
Sc  0.0000  0.0000  0.0000
Cu  0.0000  0.0000  0.3268
Pt  0.0000  0.0000  0.6628

Calculated values
Energy of formation from the pure elements (kJ per mole of atoms): -82.0
Fermi-level density of states (states/eV/f.u.): 1.5
Size of the total moment (μB per atom): 0.000
Crystal system: tetragonal

---

## La2Cu (meta-GGA SCAN)

Data for La2Cu at its PBEsol-relaxed geometry.

a b c (Å): 12.5991 3.5850 7.1196
angles (deg): 90.00 104.57 90.00
Space group C2/m (No. 12)
One atom of each set of equivalent atoms:
La  0.1277  0.0000  0.0562
La  0.1559  0.0000  0.5917
Cu  0.0139  0.5000  0.2964

Calculated values
Energy of formation from the pure elements (kJ per mole of atoms): -7.0
Fermi-level density of states (states/eV/f.u.): 3.2
Size of the total moment (μB per atom): 0.000
Crystal system: monoclinic

---

## Y2CuRh (meta-GGA SCAN)

Data for Y2CuRh at its PBEsol-relaxed geometry.

a b c (Å): 6.8033 6.8033 6.8033
angles (deg): 90.00 90.00 90.00
Space group Fm-3m (No. 225)
One atom of each set of equivalent atoms:
Y  0.2500  0.2500  0.2500
Cu  0.0000  0.0000  0.0000
Rh  0.0000  0.0000  0.5000

Calculated values
Energy of formation from the pure elements (kJ per mole of atoms): -62.1
Fermi-level density of states (states/eV/f.u.): 2.2
Size of the total moment (μB per atom): 0.000
Crystal system: cubic

---

## TlCr2As (meta-GGA SCAN)

Data for TlCr2As at its PBEsol-relaxed geometry.

a b c (Å): 2.9928 2.9928 6.8024
angles (deg): 90.00 90.00 90.00
Space group P4/mmm (No. 123)
One atom of each set of equivalent atoms:
Tl  0.0000  0.0000  0.0000
Cr  0.5000  0.5000  0.3050
As  0.0000  0.0000  0.5000

Calculated values
Energy of formation from the pure elements (kJ per mole of atoms): 31.4
Fermi-level density of states (states/eV/f.u.): 2.4
Size of the total moment (μB per atom): 0.961
Crystal system: tetragonal
Excess energy over the best structure of this formula in the dataset (eV/atom): 0.124

---

## NiOsRh2 (meta-GGA SCAN)

Data for NiOsRh2 at its PBEsol-relaxed geometry.

a b c (Å): 8.7210 2.6565 4.5485
angles (deg): 90.00 100.33 90.00
Space group Cm (No. 8)
One atom of each set of equivalent atoms:
Ni  0.0000  0.0000  0.0000
Os  0.2532  0.0000  0.7498
Rh  0.0030  0.5000  0.5134
Rh  0.2496  0.5000  0.2393

Calculated values
Energy of formation from the pure elements (kJ per mole of atoms): 9.0
Fermi-level density of states (states/eV/f.u.): 5.5
Size of the total moment (μB per atom): 0.001
Crystal system: monoclinic
Excess energy over the best structure of this formula in the dataset (eV/atom): 0.046

---

## TiFeO3 (meta-GGA SCAN)

Data for TiFeO3 at its PBEsol-relaxed geometry.

a b c (Å): 5.0237 5.0237 13.8678
angles (deg): 90.00 90.00 120.00
Space group R-3 (No. 148, hexagonal axes)
One atom of each set of equivalent atoms:
Ti  0.0000  0.0000  0.1483
Fe  0.0000  0.0000  0.3510
O  0.0125  0.3157  0.7530

Calculated values
Fermi-level density of states (states/eV/f.u.): 1.1
Size of the total moment (μB per atom): 0.800
Crystal system: trigonal
Formation energy from raw total energies (eV per atom): -2.5560

---

## Mn5Zn24 (meta-GGA SCAN)

Data for Mn5Zn24 at its PBEsol-relaxed geometry.

a b c (Å): 9.1879 9.1879 9.1879
angles (deg): 90.00 90.00 90.00
Space group I-43m (No. 217)
One atom of each set of equivalent atoms:
Mn  0.0000  0.0000  0.0000
Mn  0.1819  0.1819  0.8181
Zn  0.0431  0.3557  0.3557
Zn  0.0903  0.0903  0.2795

Calculated values
Energy of formation from the pure elements (kJ per mole of atoms): -6.7
Fermi-level density of states (states/eV/f.u.): 12.3
Size of the total moment (μB per atom): 0.611
Crystal system: cubic

---

## Ba3CaNb (meta-GGA SCAN)

Data for Ba3CaNb at its PBEsol-relaxed geometry.

a b c (Å): 6.3051 6.3051 6.3051
angles (deg): 90.00 90.00 90.00
Space group Pm-3m (No. 221)
One atom of each set of equivalent atoms:
Ba  0.0000  0.0000  0.5000
Ca  0.0000  0.0000  0.0000
Nb  0.5000  0.5000  0.5000

Calculated values
Energy of formation from the pure elements (kJ per mole of atoms): 128.1
Fermi-level density of states (states/eV/f.u.): 4.4
Size of the total moment (μB per atom): 0.301
Crystal system: cubic

---

## KSiTe (meta-GGA SCAN)

Data for KSiTe at its PBEsol-relaxed geometry.

a b c (Å): 3.7483 3.7483 11.9934
angles (deg): 90.00 90.00 90.00
Space group I4mm (No. 107)
One atom of each set of equivalent atoms:
K  0.0000  0.0000  0.0000
Si  0.0000  0.0000  0.2955
Te  0.0000  0.0000  0.7128

Calculated values
Fermi-level density of states (states/eV/f.u.): 0.7
Size of the total moment (μB per atom): 0.000
Crystal system: tetragonal
Formation energy from raw total energies (eV per atom): -0.1265

---

## Zn2ReP (meta-GGA SCAN)

Data for Zn2ReP at its PBEsol-relaxed geometry.

a b c (Å): 3.5289 3.5289 8.5869
angles (deg): 90.00 90.00 90.00
Space group I4/mmm (No. 139)
One atom of each set of equivalent atoms:
Zn  0.0000  0.5000  0.2500
Re  0.0000  0.0000  0.0000
P  0.0000  0.0000  0.5000

Calculated values
Energy of formation from the pure elements (kJ per mole of atoms): 26.5
Fermi-level density of states (states/eV/f.u.): 2.3
Size of the total moment (μB per atom): 0.000
Crystal system: tetragonal

---

## LaCr2Rh (meta-GGA SCAN)

Data for LaCr2Rh at its PBEsol-relaxed geometry.

a b c (Å): 6.5158 6.5158 6.5158
angles (deg): 90.00 90.00 90.00
Space group F-43m (No. 216)
One atom of each set of equivalent atoms:
La  0.0000  0.0000  0.0000
Cr  0.0000  0.0000  0.5000
Cr  0.2500  0.2500  0.7500
Rh  0.2500  0.2500  0.2500

Calculated values
Energy of formation from the pure elements (kJ per mole of atoms): 0.1
Fermi-level density of states (states/eV/f.u.): 2.9
Size of the total moment (μB per atom): 0.129
Crystal system: cubic
Excess energy over the best structure of this formula in the dataset (eV/atom): 0.000

---

## Ca3AsCl (meta-GGA SCAN)

Data for Ca3AsCl at its PBEsol-relaxed geometry.

a b c (Å): 5.1114 5.1114 5.1114
angles (deg): 90.00 90.00 90.00
Space group Pm-3m (No. 221)
One atom of each set of equivalent atoms:
Ca  0.0000  0.0000  0.5000
As  0.5000  0.5000  0.5000
Cl  0.0000  0.0000  0.0000

Calculated values
Fermi-level density of states (states/eV/f.u.): 4.2
Size of the total moment (μB per atom): 0.001
Crystal system: cubic
Formation energy from raw total energies (eV per atom): -0.7102

---

## SrLi2Cl (meta-GGA SCAN)

Data for SrLi2Cl at its PBEsol-relaxed geometry.

a b c (Å): 4.3969 4.7172 5.8355
angles (deg): 90.00 90.00 90.00
Space group Pmmm (No. 47)
One atom of each set of equivalent atoms:
Sr  0.0000  0.0000  0.0000
Li  0.5000  0.5000  0.2452
Cl  0.0000  0.0000  0.5000

Calculated values
Fermi-level density of states (states/eV/f.u.): 1.8
Size of the total moment (μB per atom): 0.001
Crystal system: orthorhombic
Formation energy from raw total energies (eV per atom): -0.6110

---

## Sc2InCu (meta-GGA SCAN)

Data for Sc2InCu at its PBEsol-relaxed geometry.

a b c (Å): 3.1327 3.1327 7.9625
angles (deg): 90.00 90.00 90.00
Space group P4mm (No. 99)
One atom of each set of equivalent atoms:
Sc  0.0000  0.0000  0.0000
Sc  0.5000  0.5000  0.3046
In  0.5000  0.5000  0.7211
Cu  0.0000  0.0000  0.5124

Calculated values
Energy of formation from the pure elements (kJ per mole of atoms): -23.1
Fermi-level density of states (states/eV/f.u.): 3.5
Size of the total moment (μB per atom): 0.229
Crystal system: tetragonal

---

## YFeBr2 (meta-GGA SCAN)

Data for YFeBr2 at its PBEsol-relaxed geometry.

a b c (Å): 3.6256 4.3788 12.3465
angles (deg): 90.00 90.00 90.00
Space group Immm (No. 71)
One atom of each set of equivalent atoms:
Y  0.0000  0.0000  0.0000
Fe  0.0000  0.0000  0.5000
Br  0.0000  0.5000  0.1470

Calculated values
Fermi-level density of states (states/eV/f.u.): 2.2
Size of the total moment (μB per atom): 0.506
Crystal system: orthorhombic
Formation energy from raw total energies (eV per atom): -0.6229
Excess energy over the best structure of this formula in the dataset (eV/atom): 0.000

---

## PdRhO2 (meta-GGA SCAN)

Data for PdRhO2 at its PBEsol-relaxed geometry.

a b c (Å): 5.4718 5.4718 5.4718
angles (deg): 90.00 90.00 90.00
Space group Fm-3m (No. 225)
One atom of each set of equivalent atoms:
Pd  0.0000  0.0000  0.0000
Rh  0.0000  0.0000  0.5000
O  0.2500  0.2500  0.2500

Calculated values
Fermi-level density of states (states/eV/f.u.): 5.0
Size of the total moment (μB per atom): 0.000
Crystal system: cubic
Formation energy from raw total energies (eV per atom): 0.3564

---

## Co2HgPb (meta-GGA SCAN)

Data for Co2HgPb at its PBEsol-relaxed geometry.

a b c (Å): 4.4341 4.4341 3.1532
angles (deg): 90.00 90.00 90.00
Space group P4/mmm (No. 123)
One atom of each set of equivalent atoms:
Co  0.0000  0.5000  0.0000
Hg  0.0000  0.0000  0.5000
Pb  0.5000  0.5000  0.5000

Calculated values
Energy of formation from the pure elements (kJ per mole of atoms): 64.1
Fermi-level density of states (states/eV/f.u.): 3.6
Size of the total moment (μB per atom): 0.666
Crystal system: tetragonal
Excess energy over the best structure of this formula in the dataset (eV/atom): 0.196

---

## Ca2BeSe (meta-GGA SCAN)

Data for Ca2BeSe at its PBEsol-relaxed geometry.

a b c (Å): 3.8074 4.3444 10.7626
angles (deg): 90.00 90.00 90.00
Space group Amm2 (No. 38)
One atom of each set of equivalent atoms:
Ca  0.0000  0.0000  0.0000
Ca  0.5000  0.0000  0.2884
Be  0.0000  0.0000  0.7193
Se  0.5000  0.0000  0.5798

Calculated values
Fermi-level density of states (states/eV/f.u.): 2.5
Size of the total moment (μB per atom): 0.000
Crystal system: orthorhombic
Formation energy from raw total energies (eV per atom): -0.6598
Excess energy over the best structure of this formula in the dataset (eV/atom): 0.000

---

## YTcP (meta-GGA SCAN)

Data for YTcP at its PBEsol-relaxed geometry.

a b c (Å): 6.0831 6.0831 6.0831
angles (deg): 90.00 90.00 90.00
Space group F-43m (No. 216)
One atom of each set of equivalent atoms:
Y  0.0000  0.0000  0.0000
Tc  0.2500  0.2500  0.7500
P  0.0000  0.0000  0.5000

Calculated values
Energy of formation from the pure elements (kJ per mole of atoms): -4.8
Fermi-level density of states (states/eV/f.u.): 3.1
Size of the total moment (μB per atom): 0.000
Crystal system: cubic